[1]
Material: SiAsPtO
Method: DFT, PBE
State: optimized geometry

```
SiAsPtO
1.0
4.148 0.000 0.000
0.000 4.148 0.000
0.000 0.000 7.864
O As Pt Si
2 2 2 2
Direct
0.250 0.750 0.000
0.750 0.250 0.000
0.750 0.750 0.320
0.250 0.250 0.680
0.750 0.750 0.934
0.250 0.250 0.066
0.750 0.250 0.500
0.250 0.750 0.500
```

## Properties
- calculated density (g/cm3) = 7.71
- symmetry = No. 129
- ΔE to the lowest computed polymorph (meV/atom) = 1133


[2]
Material: SnAsPtO
Method: DFT, PBE
State: optimized geometry

```
SnAsPtO
1.0
4.397 0.000 0.000
0.000 5.072 0.000
0.000 0.000 6.846
As Pt O Sn
2 2 2 2
Direct
0.000 0.675 0.872
0.000 0.325 0.372
0.000 0.773 0.528
0.000 0.227 0.028
0.500 0.779 0.319
0.500 0.221 0.819
0.500 0.910 0.035
0.500 0.090 0.535
```

## Properties
- calculated density (g/cm3) = 8.80
- symmetry = No. 26
- ΔE to the lowest computed polymorph (meV/atom) = 387


[3]
Material: SnAsPtO
Method: DFT, PBE
State: optimized geometry

```
SnAsPtO
1.0
-2.646 0.688 2.817
-1.588 -3.534 -0.627
6.186 -3.983 6.784
Sn O Pt As
2 2 2 2
Direct
0.000 0.500 0.886
0.500 0.000 0.114
0.500 0.500 0.000
0.000 0.000 0.000
0.500 0.500 0.500
0.000 0.000 0.500
0.500 0.000 0.659
0.000 0.500 0.341
```

## Properties
- calculated density (g/cm3) = 8.72
- symmetry = No. 129
- ΔE to the lowest computed polymorph (meV/atom) = 0


[4]
Material: SnAsPtO
Method: DFT, PBE
State: optimized geometry

```
SnAsPtO
1.0
4.415 0.000 0.000
0.000 4.415 0.000
0.000 0.000 7.993
O Pt As Sn
2 2 2 2
Direct
0.500 0.500 0.000
0.000 0.000 0.000
0.500 0.000 0.038
0.000 0.500 0.962
0.000 0.500 0.275
0.500 0.000 0.725
0.500 0.500 0.500
0.000 0.000 0.500
```

## Properties
- calculated density (g/cm3) = 8.63
- symmetry = No. 129
- ΔE to the lowest computed polymorph (meV/atom) = 949


Which formula does entry 4 have?
SnAsPtO


What did the first record say?
Material: SiAsPtO
Method: DFT, PBE
State: optimized geometry

```
SiAsPtO
1.0
4.148 0.000 0.000
0.000 4.148 0.000
0.000 0.000 7.864
O As Pt Si
2 2 2 2
Direct
0.250 0.750 0.000
0.750 0.250 0.000
0.750 0.750 0.320
0.250 0.250 0.680
0.750 0.750 0.934
0.250 0.250 0.066
0.750 0.250 0.500
0.250 0.750 0.500
```

## Properties
- calculated density (g/cm3) = 7.71
- symmetry = No. 129
- ΔE to the lowest computed polymorph (meV/atom) = 1133


What is the calculated density in the third record?
8.72 g/cm3